P | Density functional theory data (SCAN) for a crystal of NbGaSCl2 relaxed with PBEsol.

Computed properties:
Space-group type: P4/mmm
Mass density: 3.9 g/cm³

Unit cell a=4.892 b=4.892 c=4.758 alpha=90.00 beta=90.00 gamma=90.00
Positions (direct):
Nb  0.000  0.000  0.000
Ga  0.500  0.500  0.500
S  0.000  0.000  0.500
Cl  0.000  0.500  0.000
Cl  0.500  0.000  0.000

***

Q | Density functional theory data (SCAN) for a crystal of NbGaSCl2 relaxed with PBEsol.

Computed properties:
Space-group type: P4/mmm
Mass density: 4.3 g/cm³

Unit cell a=4.653 b=4.653 c=4.786 alpha=90.00 beta=90.00 gamma=90.00
Positions (direct):
Nb  0.000  0.000  0.000
Ga  0.500  0.500  0.500
S  0.500  0.500  0.000
Cl  0.000  0.500  0.500
Cl  0.500  0.000  0.500

***

Stability check: which of them is least stable? Q.

***

P | Density functional theory data (SCAN) for a crystal of TlGaPCl2 relaxed with PBEsol.

Computed properties:
Space-group type: P4/mmm
Mass density: 5.5 g/cm³

Unit cell a=4.887 b=4.887 c=4.793 alpha=90.00 beta=90.00 gamma=90.00
Positions (direct):
Tl  0.000  0.000  0.000
Ga  0.500  0.500  0.500
P  0.500  0.500  0.000
Cl  0.000  0.500  0.500
Cl  0.500  0.000  0.500

***

Q | Density functional theory data (SCAN) for a crystal of TlGaPCl2 relaxed with PBEsol.

Computed properties:
Space-group type: P4/mmm
Mass density: 4.2 g/cm³

Unit cell a=5.398 b=5.398 c=5.098 alpha=90.00 beta=90.00 gamma=90.00
Positions (direct):
Tl  0.000  0.000  0.000
Ga  0.500  0.500  0.500
P  0.000  0.000  0.500
Cl  0.000  0.500  0.000
Cl  0.500  0.000  0.000

***

Stability check: which of them is least stable? Q.

***

P | Density functional theory data (SCAN) for a crystal of GaSbCl2 relaxed with PBEsol.

Computed properties:
Space-group type: Fm-3m
Mass density: 4.9 g/cm³

Unit cell a=4.996 b=4.996 c=4.996 alpha=60.00 beta=60.00 gamma=60.00
Positions (direct):
Ga  0.000  0.000  0.000
Sb  0.500  0.500  0.500
Cl  0.250  0.250  0.250
Cl  0.750  0.750  0.750

***

Q | Density functional theory data (SCAN) for a crystal of GaSbCl2 relaxed with PBEsol.

Computed properties:
Space-group type: R-3m
Mass density: 4.4 g/cm³

Unit cell a=9.515 b=9.515 c=9.515 alpha=21.14 beta=21.14 gamma=21.14
Positions (direct):
Ga  0.000  0.000  0.000
Sb  0.500  0.500  0.500
Cl  0.406  0.406  0.406
Cl  0.594  0.594  0.594

***

Stability check: which of them is least stable? P.